A plane-wave DFT calculation with SCAN was carried out for a crystal of RbGe2Pt2 relaxed with PBEsol.

Structure (CIF):
```
data_RbGe2Pt2
_chemical_formula_sum 'Rb2 Ge4 Pt4'
_symmetry_space_group_name_H-M 'I 4/m m m'
_symmetry_Int_Tables_number 139
_symmetry_space_group_name_Hall '-I 4 2'
_cell_length_a 3.988
_cell_length_b 3.988
_cell_length_c 14.289
_cell_angle_alpha 90.00
_cell_angle_beta 90.00
_cell_angle_gamma 90.00
loop_
_atom_site_label
_atom_site_type_symbol
_atom_site_fract_x
_atom_site_fract_y
_atom_site_fract_z
_atom_site_occupancy
Rb1 Rb 0.000 0.000 0.000 1
Ge1 Ge 0.000 0.000 0.355 1
Pt1 Pt 0.000 0.500 0.250 1
```

## Properties
The value obtained for the raw total energy is -40.42 eV/atom. As for the crystal system: tetragonal. The value obtained for the volume is 22.72 Å³ per atom. As for the formation energy: -0.555 eV/atom.

***

A plane-wave DFT calculation with SCAN was carried out for a crystal of ScCr2Cl relaxed with PBEsol.

Structure (CIF):
```
data_ScCr2Cl
_chemical_formula_sum 'Sc1 Cr2 Cl1'
_symmetry_space_group_name_H-M 'P 4 m m'
_symmetry_Int_Tables_number 99
_cell_length_a 3.005
_cell_length_b 3.005
_cell_length_c 7.308
_cell_angle_alpha 90.00
_cell_angle_beta 90.00
_cell_angle_gamma 90.00
loop_
_symmetry_equiv_pos_as_xyz
'x,y,z'
'-y,x,z'
'-x,-y,z'
'y,-x,z'
'-x,y,z'
'y,x,z'
'x,-y,z'
'-y,-x,z'
loop_
_atom_site_label
_atom_site_type_symbol
_atom_site_fract_x
_atom_site_fract_y
_atom_site_fract_z
_atom_site_occupancy
Sc1 Sc 0.000 0.000 0.000 1
Cr1 Cr 0.000 0.000 0.593 1
Cr2 Cr 0.500 0.500 0.746 1
Cl1 Cl 0.500 0.500 0.231 1
```

## Properties
The value obtained for the raw total energy is -15.09 eV/atom. As for the crystal system: tetragonal. Its uncorrected formation energy is -0.345 eV per atom. The value obtained for the volume is 16.50 Å³ per atom. The excess energy over the best structure of this formula in the dataset comes out at 0 meV/atom.

***

A plane-wave DFT calculation with SCAN was carried out for a crystal of Al2TcMo relaxed with PBEsol.

Structure (CIF):
```
data_Al2TcMo
_chemical_formula_sum 'Al6 Tc3 Mo3'
_symmetry_space_group_name_H-M 'R -3 m'
_symmetry_Int_Tables_number 166
_symmetry_space_group_name_Hall '-R 3 2"'
_cell_length_a 2.7960
_cell_length_b 2.7960
_cell_length_c 26.0902
_cell_angle_alpha 90.00
_cell_angle_beta 90.00
_cell_angle_gamma 120.00
loop_
_atom_site_label
_atom_site_type_symbol
_atom_site_fract_x
_atom_site_fract_y
_atom_site_fract_z
_atom_site_occupancy
Al1 Al 0.0000 0.0000 0.2476 1
Tc1 Tc 0.0000 0.0000 0.5000 1
Mo1 Mo 0.0000 0.0000 0.0000 1
```

## Properties
The value obtained for the raw total energy is -21.50 eV/atom. As for the crystal system: trigonal. The value obtained for the volume is 14.72 Å³ per atom. As for the formation energy: -0.141 eV/atom. The excess energy over the best structure of this formula in the dataset comes out at 290 meV/atom.

***

no.,M_tot (μB per formula unit)
1,0.000
2,1.499
3,0.000